Entry 1:
An optimized crystal structure of LiPrBe. Source: OQMD via LeMat-Bulk, functional PBE-GGA.

Cell: 6.466 6.466 6.466 Å, 90.00 90.00 90.00°
Space group F-43m (No. 216)
Unique sites:
Li: 0.000 0.000 0.000 (multiplicity 4)
Pr: 0.250 0.250 0.250 (multiplicity 4)
Be: 0.250 0.250 0.750 (multiplicity 4)

Results
- M_tot (μB/cell) = 3.1
- raw total energy (eV/f.u.) = -8.6

---

Entry 2:
An optimized crystal structure of PaSbPb. Source: OQMD via LeMat-Bulk, functional PBE-GGA.

Cell: 7.332 7.332 7.332 Å, 90.00 90.00 90.00°
Space group F-43m (No. 216)
Unique sites:
Pa: 0.000 0.000 0.000 (multiplicity 4)
Sb: 0.250 0.250 0.250 (multiplicity 4)
Pb: 0.250 0.250 0.750 (multiplicity 4)

Results
- M_tot (μB/cell) = 2.5
- raw total energy (eV/f.u.) = -16.8

---

Entry 3:
An optimized crystal structure of Sc2FeC. Source: OQMD via LeMat-Bulk, functional PBE-GGA.

Cell: 9.901 5.719 13.830 Å, 90.00 103.91 90.00°
Space group C2/c (No. 15)
Unique sites:
Sc: 0.049 0.077 0.400 (multiplicity 8)
Sc: 0.113 0.411 0.588 (multiplicity 8)
Sc: 0.220 0.416 0.911 (multiplicity 8)
Fe: 0.000 0.283 0.750 (multiplicity 4)
Fe: 0.218 0.128 0.751 (multiplicity 8)
C: 0.082 0.246 0.003 (multiplicity 8)
C: 0.250 0.250 0.500 (multiplicity 4)

Results
- M_tot (μB/cell) = 19.4
- raw total energy (eV/f.u.) = -30.8

---

Entry 4:
An optimized crystal structure of TaNbPb2Se4. Source: OQMD via LeMat-Bulk, functional PBE-GGA.

Cell: 3.4803 3.4803 18.8873 Å, 90.00 90.00 120.00°
Space group P-6m2 (No. 187)
Unique sites:
Ta: 0.0000 0.0000 0.0000 (multiplicity 1)
Nb: 0.3333 0.6667 0.5000 (multiplicity 1)
Pb: 0.6667 0.3333 0.2508 (multiplicity 2)
Se: 0.6667 0.3333 0.0878 (multiplicity 2)
Se: 0.6667 0.3333 0.4118 (multiplicity 2)

Results
- M_tot (μB/cell) = 0.0
- raw total energy (eV/f.u.) = -48.8

---

Entry 5:
An optimized crystal structure of PmSiNi. Source: OQMD via LeMat-Bulk, functional PBE-GGA.

Cell: 6.501 6.501 6.501 Å, 90.00 90.00 90.00°
Space group F-43m (No. 216)
Unique sites:
Pm: 0.000 0.000 0.000 (multiplicity 4)
Si: 0.250 0.250 0.250 (multiplicity 4)
Ni: 0.250 0.250 0.750 (multiplicity 4)

Results
- M_tot (μB/cell) = 0.0
- raw total energy (eV/f.u.) = -14.6

---

Entry 6:
An optimized crystal structure of NaSrBiPt. Source: OQMD via LeMat-Bulk, functional PBE-GGA.

Cell: 7.311 7.311 7.311 Å, 90.00 90.00 90.00°
Space group F-43m (No. 216)
Unique sites:
Na: 0.000 0.000 0.000 (multiplicity 4)
Sr: 0.250 0.250 0.750 (multiplicity 4)
Bi: 0.000 0.000 0.500 (multiplicity 4)
Pt: 0.250 0.250 0.250 (multiplicity 4)

Results
- M_tot (μB/cell) = 0.0
- raw total energy (eV/f.u.) = -14.6

---

Entry 7:
An optimized crystal structure of GdTeAs. Source: OQMD via LeMat-Bulk, functional PBE-GGA.

Cell: 5.4360 5.4360 6.0205 Å, 90.00 90.00 120.00°
Space group P6_3/mmc (No. 194)
Unique sites:
Gd: 0.3333 0.6667 0.2500 (multiplicity 2)
Te: 0.3333 0.6667 0.7500 (multiplicity 2)
As: 0.0000 0.0000 0.0000 (multiplicity 2)

Results
- M_tot (μB/cell) = 0.0
- raw total energy (eV/f.u.) = -14.7

---

Entry 8:
An optimized crystal structure of Ba2HfMo. Source: OQMD via LeMat-Bulk, functional PBE-GGA.

Cell: 7.703 7.703 7.703 Å, 90.00 90.00 90.00°
Space group F-43m (No. 216)
Unique sites:
Ba: 0.000 0.000 0.000 (multiplicity 4)
Ba: 0.250 0.250 0.250 (multiplicity 4)
Hf: 0.250 0.250 0.750 (multiplicity 4)
Mo: 0.000 0.000 0.500 (multiplicity 4)

Results
- M_tot (μB/cell) = 0.0
- raw total energy (eV/f.u.) = -20.2

---

Entry 9:
An optimized crystal structure of NaAgF2. Source: OQMD via LeMat-Bulk, functional PBE-GGA.

Cell: 3.344 3.344 4.714 Å, 90.00 90.00 90.00°
Space group P4/mmm (No. 123)
Unique sites:
Na: 0.000 0.000 0.000 (multiplicity 1)
Ag: 0.500 0.500 0.500 (multiplicity 1)
F: 0.000 0.000 0.500 (multiplicity 1)
F: 0.500 0.500 0.000 (multiplicity 1)

Results
- raw total energy (eV/f.u.) = -15.0

---

Entry 10:
An optimized crystal structure of RbBAu. Source: OQMD via LeMat-Bulk, functional PBE-GGA.

Cell: 7.026 7.026 7.026 Å, 90.00 90.00 90.00°
Space group F-43m (No. 216)
Unique sites:
Rb: 0.000 0.000 0.000 (multiplicity 4)
B: 0.000 0.000 0.500 (multiplicity 4)
Au: 0.250 0.250 0.750 (multiplicity 4)

Results
- raw total energy (eV/f.u.) = -6.5

---

Entry 11:
An optimized crystal structure of NaTh4Pb2. Source: OQMD via LeMat-Bulk, functional PBE-GGA.

Cell: 10.963 12.770 3.565 Å, 90.00 90.00 90.00°
Space group Cmmm (No. 65)
Unique sites:
Na: 0.000 0.000 0.000 (multiplicity 2)
Th: 0.000 0.300 0.000 (multiplicity 4)
Th: 0.162 0.500 0.500 (multiplicity 4)
Pb: 0.250 0.250 0.500 (multiplicity 4)

Results
- M_tot (μB/cell) = 0.0
- raw total energy (eV/f.u.) = -37.4

---

Entry 12:
An optimized crystal structure of TlAgSn2. Source: OQMD via LeMat-Bulk, functional PBE-GGA.

Cell: 7.444 7.444 7.444 Å, 90.00 90.00 90.00°
Space group F-43m (No. 216)
Unique sites:
Tl: 0.000 0.000 0.000 (multiplicity 4)
Ag: 0.250 0.250 0.250 (multiplicity 4)
Sn: 0.000 0.000 0.500 (multiplicity 4)
Sn: 0.250 0.250 0.750 (multiplicity 4)

Results
- raw total energy (eV/f.u.) = -12.7

---

Entry 13:
An optimized crystal structure of Te2PdPt2F2. Source: OQMD via LeMat-Bulk, functional PBE-GGA.

Cell: 3.636 3.636 9.216 Å, 90.00 90.00 90.00°
Space group P-4m2 (No. 115)
Unique sites:
Te: 0.000 0.500 0.215 (multiplicity 2)
Pd: 0.000 0.000 0.000 (multiplicity 1)
Pt: 0.000 0.500 0.679 (multiplicity 2)
F: 0.000 0.000 0.500 (multiplicity 1)
F: 0.500 0.500 0.500 (multiplicity 1)

Results
- M_tot (μB/cell) = 0.0
- raw total energy (eV/f.u.) = -29.6

---

Entry 14:
An optimized crystal structure of KGdAuSe3. Source: OQMD via LeMat-Bulk, functional PBE-GGA.

Cell: 4.117 15.506 10.723 Å, 90.00 90.00 90.00°
Space group Cmcm (No. 63)
Unique sites:
K: 0.000 0.244 0.250 (multiplicity 4)
Gd: 0.000 0.000 0.000 (multiplicity 4)
Au: 0.000 0.470 0.750 (multiplicity 4)
Se: 0.000 0.078 0.750 (multiplicity 4)
Se: 0.000 0.372 0.555 (multiplicity 8)

Results
- M_tot (μB/cell) = 0.9
- raw total energy (eV/f.u.) = -26.2

---

Entry 15:
An optimized crystal structure of KCd3Pt. Source: OQMD via LeMat-Bulk, functional PBE-GGA.

Cell: 5.289 5.289 5.289 Å, 90.00 90.00 90.00°
Space group Pm-3m (No. 221)
Unique sites:
K: 0.000 0.000 0.000 (multiplicity 1)
Cd: 0.000 0.500 0.500 (multiplicity 3)
Pt: 0.500 0.500 0.500 (multiplicity 1)

Results
- M_tot (μB/cell) = 0.0
- raw total energy (eV/f.u.) = -11.1

---

Entry 16:
An optimized crystal structure of Ho2Cu5Ni5. Source: OQMD via LeMat-Bulk, functional PBE-GGA.

Cell: 4.032 4.896 8.470 Å, 90.00 90.00 90.00°
Space group Pmmm (No. 47)
Unique sites:
Ho: 0.000 0.000 0.000 (multiplicity 1)
Ho: 0.000 0.500 0.500 (multiplicity 1)
Cu: 0.500 0.000 0.500 (multiplicity 1)
Cu: 0.500 0.250 0.248 (multiplicity 4)
Ni: 0.000 0.000 0.335 (multiplicity 2)
Ni: 0.000 0.500 0.162 (multiplicity 2)
Ni: 0.500 0.500 0.000 (multiplicity 1)

Results
- M_tot (μB/cell) = 0.0
- energy of formation (meV per atom) = -292

---

Entry 17:
An optimized crystal structure of Li2LuAu. Source: OQMD via LeMat-Bulk, functional PBE-GGA.

Cell: 6.695 6.695 6.695 Å, 90.00 90.00 90.00°
Space group F-43m (No. 216)
Unique sites:
Li: 0.000 0.000 0.000 (multiplicity 4)
Li: 0.250 0.250 0.250 (multiplicity 4)
Lu: 0.000 0.000 0.500 (multiplicity 4)
Au: 0.250 0.250 0.750 (multiplicity 4)

Results
- M_tot (μB/cell) = 0.6
- raw total energy (eV/f.u.) = -13.1

---

Entry 18:
An optimized crystal structure of ErTmInNi2. Source: OQMD via LeMat-Bulk, functional PBE-GGA.

Cell: 3.619 3.886 14.064 Å, 90.00 90.00 90.00°
Space group Amm2 (No. 38)
Unique sites:
Er: 0.000 0.000 0.000 (multiplicity 2)
Tm: 0.000 0.000 0.722 (multiplicity 2)
In: 0.500 0.000 0.361 (multiplicity 2)
Ni: 0.500 0.000 0.163 (multiplicity 2)
Ni: 0.500 0.000 0.560 (multiplicity 2)

Results
- M_tot (μB/cell) = 0.0
- raw total energy (eV/f.u.) = -25.7

---

Entry 19:
An optimized crystal structure of TmGaPd. Source: OQMD via LeMat-Bulk, functional PBE-GGA.

Cell: 6.555 6.555 6.555 Å, 90.00 90.00 90.00°
Space group F-43m (No. 216)
Unique sites:
Tm: 0.000 0.000 0.000 (multiplicity 4)
Ga: 0.250 0.250 0.750 (multiplicity 4)
Pd: 0.250 0.250 0.250 (multiplicity 4)

Results
- M_tot (μB/cell) = 0.0
- raw total energy (eV/f.u.) = -13.2

---

Entry 20:
An optimized crystal structure of Ho2Be2SiGe. Source: OQMD via LeMat-Bulk, functional PBE-GGA.

Cell: 3.8847 3.8847 8.0166 Å, 90.00 90.00 120.00°
Space group P-6m2 (No. 187)
Unique sites:
Ho: 0.0000 0.0000 0.2473 (multiplicity 2)
Be: 0.3333 0.6667 0.0000 (multiplicity 1)
Be: 0.6667 0.3333 0.5000 (multiplicity 1)
Si: 0.6667 0.3333 0.0000 (multiplicity 1)
Ge: 0.3333 0.6667 0.5000 (multiplicity 1)

Results
- M_tot (μB/cell) = 0.0
- raw total energy (eV/f.u.) = -30.6